[1]
This record from Alexandria describes B7C5 after structural relaxation. The functional is GGA-PBE.

Cell lengths 5.7107, 5.6083, 3.4182 Å; angles 85.76, 93.96, 133.26 degrees
Last column: nearest neighbours and their distance in Å.
Element x y z (fractional)
B1 0.2363 0.8775 0.5219  2 C 1.58-1.60, 1 B 1.69
B2 0.8693 0.6588 0.2403  1 C 1.62, 2 B 1.71-1.79
B3 0.5182 0.5272 0.5000  2 C 1.66, 1 B 1.79
B4 0.1227 0.2818 0.2793  2 C 1.64-1.65, 1 B 1.79
B5 0.3714 0.6928 0.0129  2 C 1.63-1.71
B6 0.9686 0.4919 0.7202  1 C 1.66, 1 B 1.69
B7 0.6005 0.3021 0.9931  2 C 1.55-1.62, 1 B 1.71
C1 0.8038 0.1467 0.5094  2 C 1.49-1.50, 2 B 1.65-1.66
C2 0.5198 0.0145 0.2477  1 C 1.49, 3 B 1.55-1.63
C3 0.2862 0.1601 0.7222  1 C 1.55, 3 B 1.60-1.66
C4 0.0002 0.9889 0.9975  2 C 1.51-1.55, 2 B 1.62-1.64
C5 0.7029 0.8578 0.7555  2 C 1.50-1.51, 1 B 1.66

Summary:
As for the formation enthalpy at 0 K: 0.40 eV per atom. The density of states at the Fermi level is 1.819 states/eV/f.u.

***

[2]
This record from Alexandria describes B7C5 after structural relaxation. The functional is GGA-PBE.

Cell lengths 2.4764, 2.4764, 13.3105 Å; angles 90.00, 90.00, 90.00 degrees
Last column: nearest neighbours and their distance in Å.
Element x y z (fractional)
B1 0.5000 0.5000 0.8152  2 C 1.61
B2 0.5000 0.0000 0.9167  4 B 1.83
B3 0.5000 0.5000 0.4972  4 C 1.64
B4 0.0000 0.0000 0.6573  4 C 1.63-1.64
B5 0.5000 0.5000 0.1760  4 C 1.63-1.64
B6 0.0000 0.0000 0.3361  4 C 1.64
B7 0.0000 0.0000 0.0181  2 C 1.61
C1 0.5000 0.0000 0.5776  4 B 1.63-1.64
C2 0.0000 0.5000 0.7383  4 B 1.61-1.64
C3 0.5000 0.0000 0.2558  4 B 1.63-1.64
C4 0.0000 0.5000 0.4167  4 B 1.64
C5 0.0000 0.5000 0.0950  4 B 1.61-1.64

Summary:
As for the formation enthalpy at 0 K: 0.47 eV per atom. The density of states at the Fermi level is 1.677 states/eV/f.u.

***

[3]
This record from Alexandria describes BC after structural relaxation. The functional is GGA-PBE.

Cell lengths 2.5643, 2.5643, 14.0790 Å; angles 90.00, 90.00, 120.00 degrees
Last column: nearest neighbours and their distance in Å.
Element x y z (fractional)
B1 0.6667 0.3333 0.8274  4 B 1.70-1.84
B2 0.0000 0.0000 0.9050  1 C 1.58
B3 0.6667 0.3333 0.7064  3 C 1.64, 1 B 1.70
B4 0.0000 0.0000 0.4726  1 C 1.58
B5 0.3333 0.6667 0.5472  1 C 1.53
B6 0.3333 0.6667 0.1684  4 C 1.62-1.64
C1 0.3333 0.6667 0.6559  4 B 1.53-1.64
C2 0.6667 0.3333 0.3224  4 C 1.52-1.57
C3 0.0000 0.0000 0.3603  3 C 1.57, 1 B 1.58
C4 0.6667 0.3333 0.2147  1 C 1.52, 3 B 1.62
C5 0.0000 0.0000 0.0175  3 C 1.56, 1 B 1.58
C6 0.3333 0.6667 0.0523  3 C 1.56, 1 B 1.64

Summary:
As for the formation enthalpy at 0 K: 0.43 eV per atom. The density of states at the Fermi level is 0.182 states/eV/f.u.

***

[4]
This record from Alexandria describes BC after structural relaxation. The functional is GGA-PBE.

Cell lengths 6.5377, 6.5377, 3.6132 Å; angles 91.15, 91.15, 148.56 degrees
Last column: nearest neighbours and their distance in Å.
Element x y z (fractional)
B1 0.1778 0.8470 0.5456  2 C 1.65, 1 B 1.73
B2 0.8163 0.6837 0.2500  2 C 1.61
B3 0.3426 0.6483 0.9974  3 C 1.64-1.68, 1 B 1.79
B4 0.8517 0.1574 0.5026  3 C 1.64-1.68, 1 B 1.79
B5 0.4947 0.0053 0.2500  4 B 1.73-1.79
B6 0.6530 0.3222 0.9544  2 C 1.65, 1 B 1.73
C1 0.4898 0.4972 0.5064  3 C 1.50-1.55, 1 B 1.61
C2 0.1761 0.3239 0.2500  2 C 1.50, 2 B 1.64
C3 0.0033 0.4967 0.7500  4 B 1.65-1.68
C4 0.3163 0.1837 0.7500  2 C 1.55, 2 B 1.65
C5 0.0028 0.0102 0.9936  3 C 1.50-1.55, 1 B 1.61
C6 0.6757 0.8243 0.7500  2 C 1.51, 2 B 1.65

Summary:
As for the formation enthalpy at 0 K: 0.43 eV per atom. The density of states at the Fermi level is 0.399 states/eV/f.u.

***

[5]
This record from Alexandria describes B7C5 after structural relaxation. The functional is GGA-PBE.

Cell lengths 4.7230, 4.6994, 5.3453 Å; angles 107.97, 106.19, 48.56 degrees
Last column: nearest neighbours and their distance in Å.
Element x y z (fractional)
B1 0.9587 0.0420 0.0126  3 C 1.63-1.66
B2 0.2551 0.4110 0.0894  3 C 1.56-1.61
B3 0.8026 0.9045 0.6259  2 C 1.70-1.82, 3 B 1.74-1.85
B4 0.6561 0.6287 0.3029  3 C 1.58-1.64
B5 0.0049 0.0351 0.4768  2 C 1.56-1.60
B6 0.2665 0.7334 0.7249  1 C 1.60, 2 B 1.66-1.74
B7 0.3096 0.3383 0.6696  2 C 1.64-1.65, 2 B 1.66-1.83
C1 0.2395 0.7639 0.2340  4 B 1.56-1.63
C2 0.8853 0.4559 0.5786  1 C 1.59, 3 B 1.60-1.65
C3 0.5810 0.0651 0.8978  1 C 1.56, 4 B 1.61-1.70
C4 0.6500 0.6776 0.8267  3 C 1.56-1.59, 1 B 1.60
C5 0.8908 0.4445 0.0607  1 C 1.57, 3 B 1.58-1.64

Summary:
As for the formation enthalpy at 0 K: 0.36 eV per atom. The density of states at the Fermi level is 1.335 states/eV/f.u.

***

[6]
This record from Alexandria describes BC after structural relaxation. The functional is GGA-PBE.

Cell lengths 4.5106, 4.5106, 8.1131 Å; angles 118.60, 118.60, 33.36 degrees
Last column: nearest neighbours and their distance in Å.
Element x y z (fractional)
B1 0.4914 0.4914 0.3843  3 C 1.58-1.68
B2 0.2849 0.2849 0.1396  5 B 1.77-1.89
B3 0.1322 0.1322 0.2257  2 C 1.62, 2 B 1.71-1.77
B4 0.0344 0.0344 0.9826  2 C 1.62, 2 B 1.71-1.77
B5 0.8817 0.8817 0.0687  5 B 1.77-1.89
B6 0.6753 0.6753 0.8240  3 C 1.58-1.68
C1 0.6601 0.6601 0.3579  1 C 1.50, 3 B 1.58-1.62
C2 0.5066 0.5066 0.8504  1 C 1.50, 3 B 1.58-1.62
C3 0.3352 0.3352 0.6634  4 C 1.50-1.60
C4 0.1728 0.1728 0.6912  2 C 1.48-1.53
C5 0.9939 0.9939 0.5171  2 C 1.48-1.53
C6 0.8315 0.8315 0.5449  4 C 1.50-1.60

Summary:
As for the formation enthalpy at 0 K: 0.35 eV per atom. The density of states at the Fermi level is 0.205 states/eV/f.u.

***

[7]
This record from Alexandria describes BC after structural relaxation. The functional is GGA-PBE.

Cell lengths 12.0541, 12.0541, 12.0541 Å; angles 12.08, 12.08, 12.08 degrees
Last column: nearest neighbours and their distance in Å.
Element x y z (fractional)
B1 0.7957 0.7957 0.7957  4 B 1.67-1.84
B2 0.1603 0.1603 0.1603  4 B 1.69-1.84
B3 0.3860 0.3860 0.3860  1 C 1.58
B4 0.7493 0.7493 0.7493  4 B 1.67-1.82
B5 0.2074 0.2074 0.2074  3 C 1.64, 1 B 1.69
C1 0.6028 0.6028 0.6028  4 C 1.49-1.56
C2 0.9512 0.9512 0.9512  4 C 1.54-1.56
C3 0.5612 0.5612 0.5612  1 C 1.49, 3 B 1.64
C4 0.9941 0.9941 0.9941  4 C 1.54-1.56
C5 0.3420 0.3420 0.3420  3 C 1.56, 1 B 1.58

Summary:
As for the formation enthalpy at 0 K: 0.46 eV per atom. The density of states at the Fermi level is 0.319 states/eV/f.u.

***

[8]
This record from Alexandria describes B7C5 after structural relaxation. The functional is GGA-PBE.

Cell lengths 2.6874, 2.7007, 19.3153 Å; angles 90.17, 90.05, 120.17 degrees
Last column: nearest neighbours and their distance in Å.
Element x y z (fractional)
B1 0.6640 0.3332 0.8209  1 C 1.56
B2 0.9980 0.0017 0.8729  4 B 1.74-1.85
B3 0.3303 0.6645 0.7334  3 C 1.56
B4 0.6690 0.3345 0.3589  3 C 1.55-1.57
B5 0.0035 0.9980 0.5338  3 C 1.55-1.57
B6 0.3422 0.6703 0.1845  3 C 1.55-1.57
B7 0.0053 0.0058 0.9628  3 C 1.55-1.56, 1 B 1.74
C1 0.6625 0.3308 0.7400  4 B 1.56
C2 0.9936 0.9968 0.3591  3 B 1.55-1.57
C3 0.3275 0.6600 0.5341  3 B 1.55-1.57
C4 0.6662 0.3323 0.1846  3 B 1.55-1.57
C5 0.3379 0.6721 0.9649  3 B 1.55-1.56

Summary:
As for the formation enthalpy at 0 K: 0.49 eV per atom. The density of states at the Fermi level is 2.525 states/eV/f.u.

***

DFT total energy for every record listed, in sequence, given in eV/atom: -7.338, -7.268, -7.525, -7.521, -7.382, -7.602, -7.488, -7.249.